Material: Dy9Y2Tm
Method: DFT, PBE-GGA
State: relaxed

The structure in POSCAR format:
```
Dy9Y2Tm
1.0
5.011 0.000 0.000
0.000 5.011 0.000
0.000 0.000 15.037
Dy Y Tm
9 2 1
direct
0.000 0.000 0.000
0.000 0.000 0.333
0.000 0.000 0.667
0.000 0.500 0.165
0.000 0.500 0.500
0.000 0.500 0.835
0.500 0.000 0.165
0.500 0.000 0.500
0.500 0.000 0.835
0.500 0.500 0.333
0.500 0.500 0.667
0.500 0.500 0.000
```

Uncorrected energy   -4.88 eV/atom
Magnetic moment   0.00 μB/f.u.